Li4MoO5 after structural relaxation, computed with PBE+U.

Density, Mg/m³: 3.507
E above lowest polymorph, meV per atom: 180.8
Raw total energy, eV per cell: -114.77

Cell: 5.379 8.429 9.360 Å, 75.30 123.80 143.52°
Each line ends with the local moment (μB).
Element x y z (fractional)
O 0.160 0.417 0.652  0.07
Li 0.517 0.689 0.883  0.00
Li 0.483 0.311 0.117  0.00
Li 0.469 0.756 0.577  0.00
Mo 0.533 0.376 0.795  0.94
Li 0.608 0.062 0.738  0.00
Li 0.500 0.500 0.500  0.00
O 0.943 0.323 0.241  -0.03
O 0.057 0.677 0.759  -0.03
Li 0.500 0.000 0.000  0.00
O 0.040 0.047 0.835  -0.03
O 0.840 0.583 0.348  0.07
Li 0.531 0.244 0.423  0.00
Mo 0.467 0.624 0.205  0.94
O 0.010 0.921 0.486  -0.01
Li 0.392 0.938 0.262  0.00
O 0.986 0.348 0.950  0.03
O 0.990 0.079 0.514  -0.01
O 0.960 0.953 0.165  -0.03
O 0.014 0.652 0.050  0.03